[1]
Material: NdY2Pd
Method: DFT, GGA-PBE
State: optimized geometry

D(E_F), states/eV/f.u.: 4.99
Raw total energy, eV per cell: -49.23
Space group: P2_1/m (11)
Volume, Å³ per cell: 225.81

a b c (Å): 3.780 9.426 6.613
angles (deg): 90.00 106.57 90.00
Sites, in units of the cell vectors:
1 Nd 0.062 0.250 0.125
2 Nd 0.938 0.750 0.875
3 Y 0.364 0.061 0.727
4 Y 0.364 0.439 0.727
5 Y 0.636 0.561 0.273
6 Y 0.636 0.939 0.273
7 Pd 0.239 0.750 0.478
8 Pd 0.761 0.250 0.522



[2]
Material: ZrSc2Mo
Method: DFT, GGA-PBE
State: optimized geometry

D(E_F), states/eV/f.u.: 6.63
Raw total energy, eV per cell: -30.68
Space group: R-3m (166)
Volume, Å³ per cell: 86.06

a b c (Å): 10.789 10.789 10.789
angles (deg): 16.28 16.28 16.28
Sites, in units of the cell vectors:
1 Zr 0.000 0.000 0.000
2 Sc 0.096 0.096 0.096
3 Sc 0.904 0.904 0.904
4 Mo 0.500 0.500 0.500



[3]
Material: LaDy2Hf
Method: DFT, GGA-PBE
State: optimized geometry

D(E_F), states/eV/f.u.: 8.83
Raw total energy, eV per cell: -23.19
Space group: P4/mmm (123)
Volume, Å³ per cell: 121.71

a b c (Å): 3.978 3.978 7.691
angles (deg): 90.00 90.00 90.00
Sites, in units of the cell vectors:
1 La 0.000 0.000 0.000
2 Dy 0.500 0.500 0.290
3 Dy 0.500 0.500 0.710
4 Hf 0.000 0.000 0.500



[4]
Material: YTl2Hg
Method: DFT, GGA-PBE
State: optimized geometry

D(E_F), states/eV/f.u.: 3.72
Raw total energy, eV per cell: -12.07
Space group: F-43m (216)
Volume, Å³ per cell: 108.68

a b c (Å): 5.357 5.357 5.357
angles (deg): 60.00 60.00 60.00
Sites, in units of the cell vectors:
1 Y 0.000 0.000 0.000
2 Tl 0.250 0.250 0.250
3 Tl 0.500 0.500 0.500
4 Hg 0.750 0.750 0.750



[5]
Material: CaPmSm3
Method: DFT, GGA-PBE
State: optimized geometry

D(E_F), states/eV/f.u.: 8.25
Raw total energy, eV per cell: -40.02
Space group: Cmmm (65)
Volume, Å³ per cell: 357.87

a b c (Å): 6.338 6.338 11.394
angles (deg): 90.00 90.00 128.57
Sites, in units of the cell vectors:
1 Ca 0.156 0.844 0.000
2 Ca 0.844 0.156 0.000
3 Pm 0.363 0.637 0.500
4 Pm 0.637 0.363 0.500
5 Sm 0.153 0.847 0.305
6 Sm 0.153 0.847 0.695
7 Sm 0.500 0.500 0.186
8 Sm 0.500 0.500 0.814
9 Sm 0.847 0.153 0.305
10 Sm 0.847 0.153 0.695



[6]
Material: Na5Pa2F12
Method: DFT, GGA-PBE
State: optimized geometry

D(E_F), states/eV/f.u.: 5.46
Raw total energy, eV per cell: -107.79
Space group: C2/m (12)
Volume, Å³ per cell: 305.89

a b c (Å): 7.337 7.337 7.509
angles (deg): 118.63 118.63 68.07
Sites, in units of the cell vectors:
1 Na 0.000 0.000 0.000
2 Na 0.287 0.287 0.576
3 Na 0.352 0.352 0.027
4 Na 0.648 0.648 0.973
5 Na 0.713 0.713 0.424
6 Pa 0.240 0.760 0.500
7 Pa 0.760 0.240 0.500
8 F 0.042 0.042 0.340
9 F 0.045 0.394 0.745
10 F 0.295 0.651 0.762
11 F 0.349 0.705 0.238
12 F 0.366 0.366 0.352
13 F 0.394 0.045 0.745
14 F 0.606 0.955 0.255
15 F 0.634 0.634 0.648
16 F 0.651 0.295 0.762
17 F 0.705 0.349 0.238
18 F 0.955 0.606 0.255
19 F 0.958 0.958 0.660



[7]
Material: TlAgS2
Method: DFT, GGA-PBE
State: optimized geometry

D(E_F), states/eV/f.u.: 0.00
Raw total energy, eV per cell: -27.87
Space group: P1 (1)
Volume, Å³ per cell: 204.72

a b c (Å): 4.365 7.081 7.216
angles (deg): 80.19 73.96 73.71
Sites, in units of the cell vectors:
1 Tl 0.000 0.000 0.000
2 Tl 0.387 0.442 0.760
3 Ag 0.518 0.725 0.267
4 Ag 0.548 0.915 0.620
5 S 0.040 0.539 0.393
6 S 0.143 0.048 0.429
7 S 0.281 0.291 0.246
8 S 0.727 0.710 0.893



[8]
Material: Li4Ga3Cu2
Method: DFT, GGA-PBE
State: optimized geometry

D(E_F), states/eV/f.u.: 2.22
Raw total energy, eV per cell: -26.86
Space group: P-1 (2)
Volume, Å³ per cell: 127.76

a b c (Å): 4.390 4.937 6.790
angles (deg): 75.13 86.34 64.11
Sites, in units of the cell vectors:
1 Li 0.113 0.268 0.159
2 Li 0.333 0.839 0.502
3 Li 0.667 0.161 0.498
4 Li 0.887 0.732 0.841
5 Ga 0.000 0.500 0.500
6 Ga 0.431 0.636 0.155
7 Ga 0.569 0.364 0.845
8 Cu 0.213 0.074 0.824
9 Cu 0.787 0.926 0.176